# GaPdPt2 | Alexandria via LeMat-Bulk | GGA-PBE | optimized geometry
data_GaPdPt2
_chemical_formula_sum 'Ga3 Pd3 Pt6'
_cell_length_a 4.4041
_cell_length_b 4.4041
_cell_length_c 11.0788
_cell_angle_alpha 90.00
_cell_angle_beta 90.00
_cell_angle_gamma 120.00
_space_group_name_H-M_alt 'R 3 m'
_space_group_IT_number 160
_space_group_name_Hall 'R 3 -2"'
loop_
_atom_site_label
_atom_site_type_symbol
_atom_site_fract_x
_atom_site_fract_y
_atom_site_fract_z
Ga1 Ga 0.0000 0.0000 0.0000
Pd1 Pd 0.0000 0.0000 0.7449
Pt1 Pt 0.0000 0.0000 0.2559
Pt2 Pt 0.0000 0.0000 0.5002
# formation energy: -344 meV per atom
# size of the total moment: 0.000 μB per cell